Here is a geometry-optimized TbSc2Mn structure from Alexandria. Energies are from PBE.

Properties
The calculation puts the formation energy at 0.26 eV per atom. The symmetry is R-3m. The calculation puts the density of states at the Fermi level at 1.51 states/eV per atom.

abc: 4.7542 4.7542 5.4860
angles: 64.32 64.32 60.00
Site moments in Bohr magnetons follow the coordinates.
Atoms (fractional coordinates):
Sc 0.7754 0.7754 0.6738  -0.41
Sc 0.2246 0.2246 0.3262  -0.41
Tb 0.0000 0.0000 0.0000  -0.52
Mn 0.5000 0.5000 0.5000  3.05

Here is a geometry-optimized CoTc2Ir2 structure from Alexandria. Energies are from PBE.

Properties
The calculation puts the formation energy at 0.29 eV per atom. The symmetry is P4/mbm. The calculation puts the density of states at the Fermi level at 0.90 states/eV per atom.

abc: 7.4331 7.4331 2.7289
angles: 90.00 90.00 90.00
Atoms (fractional coordinates):
Co 0.5000 0.5000 0.0000
Co 0.0000 0.0000 0.0000
Ir 0.8745 0.6255 0.0000
Ir 0.6255 0.1255 0.0000
Ir 0.1255 0.3745 0.0000
Ir 0.3745 0.8745 0.0000
Tc 0.8286 0.3286 0.5000
Tc 0.3286 0.1714 0.5000
Tc 0.1714 0.6714 0.5000
Tc 0.6714 0.8286 0.5000

Here is a geometry-optimized AcLa2Sm structure from Alexandria. Energies are from PBE.

Properties
The calculation puts the formation energy at 0.10 eV per atom. The symmetry is P4/mmm. The calculation puts the density of states at the Fermi level at 2.55 states/eV per atom.

abc: 4.3802 4.3802 7.9382
angles: 90.00 90.00 90.00
Atoms (fractional coordinates):
La 0.0000 0.0000 0.2183
La 0.0000 0.0000 0.7817
Ac 0.5000 0.5000 0.5000
Sm 0.5000 0.5000 0.0000

Here is a geometry-optimized SmIrPt2 structure from Alexandria. Energies are from PBE.

Properties
The calculation puts the formation energy at -0.65 eV per atom. The symmetry is P4/mmm. The calculation puts the density of states at the Fermi level at 0.96 states/eV per atom.

abc: 4.1513 4.1390 4.1390
angles: 90.00 90.00 90.00
Atoms (fractional coordinates):
Ir 0.5000 0.0000 0.0000
Pt 0.0000 0.5000 0.0000
Pt 0.0000 0.0000 0.5000
Sm 0.5000 0.5000 0.5000

Here is a geometry-optimized AcTm2Pb3 structure from Alexandria. Energies are from PBE.

Properties
The calculation puts the formation energy at -0.39 eV per atom. The symmetry is Cmcm. The calculation puts the density of states at the Fermi level at 0.69 states/eV per atom.

abc: 4.8321 8.7407 9.4197
angles: 90.00 90.00 106.05
Atoms (fractional coordinates):
Tm 0.0000 0.0000 0.5000
Tm 0.4985 0.9970 0.2500
Tm 0.5015 0.0030 0.7500
Tm 0.0000 0.0000 0.0000
Pb 0.6317 0.2634 0.0094
Pb 0.3683 0.7366 0.5094
Pb 0.1407 0.2814 0.7500
Pb 0.3683 0.7366 0.9906
Pb 0.8593 0.7186 0.2500
Pb 0.6317 0.2634 0.4906
Ac 0.2060 0.4120 0.2500
Ac 0.7940 0.5880 0.7500

Here is a geometry-optimized ZrScAlIn structure from Alexandria. Energies are from PBE.

Properties
The calculation puts the formation energy at -0.28 eV per atom. The symmetry is F-43m. The calculation puts the density of states at the Fermi level at 0.97 states/eV per atom.

abc: 4.9132 4.9132 4.9132
angles: 60.00 60.00 60.00
Atoms (fractional coordinates):
Al 0.2500 0.2500 0.2500
Sc 0.0000 0.0000 0.0000
Zr 0.5000 0.5000 0.5000
In 0.7500 0.7500 0.7500

Here is a geometry-optimized ZnP structure from Alexandria. Energies are from PBE.

Properties
The calculation puts the formation energy at 0.00 eV per atom. The symmetry is Pmmn. The calculation puts the density of states at the Fermi level at 0.34 states/eV per atom.

abc: 4.0181 6.6073 9.3415
angles: 90.00 90.00 90.00
Atoms (fractional coordinates):
P 0.5000 0.4778 0.5000
P 0.0000 0.5222 0.0000
P 0.0000 0.9960 0.3836
P 0.5000 0.0040 0.8836
P 0.0000 0.9960 0.6164
P 0.5000 0.0040 0.1164
Zn 0.0000 0.7865 0.8341
Zn 0.5000 0.3539 0.0000
Zn 0.5000 0.2135 0.3341
Zn 0.5000 0.2135 0.6659
Zn 0.0000 0.6461 0.5000
Zn 0.0000 0.7865 0.1659

Here is a geometry-optimized ScHg2 structure from Alexandria. Energies are from PBE.

Properties
The calculation puts the formation energy at -0.25 eV per atom. The symmetry is C2/m. The calculation puts the density of states at the Fermi level at 0.76 states/eV per atom.

abc: 4.1628 6.1139 6.3031
angles: 65.72 90.00 70.10
Atoms (fractional coordinates):
Hg 0.3106 0.3787 0.6080
Hg 0.6338 0.7324 0.7809
Hg 0.9591 0.0817 0.4269
Hg 0.9853 0.0294 0.9619
Sc 0.3031 0.3938 0.0939
Sc 0.6414 0.7173 0.2950